Computed, not measured: a relaxed structure of Nd2Zn3GaAu4 at the PBE-GGA level of DFT.

Lattice parameters (Å, degrees): 4.3507 4.3507 10.9375 90.00 90.00 90.00
With the nearest neighbours (Å) after each atom.
Atoms (fractional coordinates):
Nd 0.5000 0.0000 0.2571  8 Au 3.30-3.56, 6 Zn 3.36-3.43, 2 Ga 3.43
Nd 0.0000 0.5000 0.7429  8 Au 3.30-3.56, 6 Zn 3.36-3.43, 2 Ga 3.43
Zn 0.0000 0.0000 0.5000  4 Au 2.63
Zn 0.5000 0.0000 0.8659  5 Au 2.53-2.62
Zn 0.0000 0.5000 0.1341  5 Au 2.53-2.62
Ga 0.5000 0.5000 0.5000  4 Au 2.63
Au 0.5000 0.5000 0.0000  4 Zn 2.62
Au 0.0000 0.0000 0.0000  4 Zn 2.62
Au 0.5000 0.0000 0.6348  3 Zn 2.53-2.63, 2 Ga 2.63
Au 0.0000 0.5000 0.3652  3 Zn 2.53-2.63, 2 Ga 2.63

Summary:
- space group = P-4m2
- calculated total energy (eV/f.u.) = -34.93
- energy of formation from the pure elements (meV per atom) = -544
- density of states at the Fermi level (states/eV per cell) = 6.1
- calculated density (g cm⁻³) = 10.77

Computed, not measured: a relaxed structure of Nd2ZnGa6Au at the PBE-GGA level of DFT.

Lattice parameters (Å, degrees): 6.1577 6.1577 13.9175 77.22 77.22 60.00
With the nearest neighbours (Å) after each atom.
Atoms (fractional coordinates):
Nd 0.8772 0.8772 0.3683  9 Ga 3.12-3.43
Nd 0.1228 0.1228 0.6317  9 Ga 3.12-3.43
Nd 0.6850 0.6850 0.9450  9 Ga 3.29-3.32, 3 Zn 3.63
Nd 0.3150 0.3150 0.0550  9 Ga 3.29-3.32, 3 Zn 3.63
Zn 0.0000 0.0000 0.0000  6 Ga 2.61
Zn 0.5000 0.5000 0.5000  6 Ga 2.55
Ga 0.9304 0.3379 0.3938  2 Ga 2.51, 1 Zn 2.55, 1 Au 2.57
Ga 0.3379 0.9304 0.3938  2 Ga 2.51, 1 Zn 2.55, 1 Au 2.57
Ga 0.3379 0.3379 0.3938  2 Ga 2.51, 1 Zn 2.55, 1 Au 2.57
Ga 0.0696 0.6621 0.6062  2 Ga 2.51, 1 Zn 2.55, 1 Au 2.57
Ga 0.6621 0.0696 0.6062  2 Ga 2.51, 1 Zn 2.55, 1 Au 2.57
Ga 0.6621 0.6621 0.6062  2 Ga 2.51, 1 Zn 2.55, 1 Au 2.57
Ga 0.7284 0.2093 0.8530  1 Au 2.61, 1 Zn 2.61
Ga 0.2093 0.7284 0.8530  1 Au 2.61, 1 Zn 2.61
Ga 0.2093 0.2093 0.8530  1 Au 2.61, 1 Zn 2.61
Ga 0.2716 0.7907 0.1470  1 Au 2.61, 1 Zn 2.61
Ga 0.7907 0.2716 0.1470  1 Au 2.61, 1 Zn 2.61
Ga 0.7907 0.7907 0.1470  1 Au 2.61, 1 Zn 2.61
Au 0.5718 0.5718 0.2847  6 Ga 2.57-2.61
Au 0.4282 0.4282 0.7153  6 Ga 2.57-2.61

Summary:
- space group = R-3m
- calculated total energy (eV/f.u.) = -35.04
- energy of formation from the pure elements (meV per atom) = -279
- density of states at the Fermi level (states/eV per cell) = 8.4
- calculated density (g cm⁻³) = 7.28